{
  "formula": "Pr8Dy2Mg",
  "functional": "PBE",
  "state": "relaxed",
  "lattice": [[-0.243, 5.705, 0.039], [-5.366, -0.190, -5.625], [-3.474, -3.065, 8.793]],
  "species": ["Pr", "Pr", "Pr", "Pr", "Pr", "Pr", "Pr", "Pr", "Dy", "Dy", "Mg"],
  "fractional_positions": [[0.635, 0.853, 0.270], [0.365, 0.583, 0.730], [0.176, 0.176, 0.351], [0.000, 0.266, 0.000], [0.824, 0.824, 0.649], [0.635, 0.417, 0.270], [0.365, 0.147, 0.730], [0.000, 0.734, 0.000], [0.195, 0.695, 0.389], [0.805, 0.305, 0.611], [0.500, 0.000, 0.000]],
  "n_ef_per_ev_cell": 19.1,
  "dft_energy_ev_per_atom": -4.364,
  "m_tot_mub_per_atom": 0.00,
  "polymorph_energy_ev_per_atom": 0.0857
}